Entry 1:
DFT (PBE-GGA) results for AgSbPbS3 after structural relaxation.

Cell and atoms, written as POSCAR:
```
AgSbPbS3
1.0
-2.008 2.855 6.110
2.008 -2.855 6.110
2.008 2.855 -6.110
Ag Sb Pb S
1 1 1 3
direct
0.000 0.000 0.000
0.678 0.678 0.000
0.341 0.341 0.000
0.171 0.671 0.500
0.531 0.031 0.500
0.843 0.343 0.500
```

Output
total DFT energy (no corrections): -0.150 Ha/atom
space-group type: No. 44
magnetic moment: 0.000 μB/cell
energy above the most stable polymorph in this dataset: 0.278 eV/f.u.
mass density: 6.32 g cm⁻³



Entry 2:
DFT (PBE-GGA) results for MgAsCl2 after structural relaxation.

Cell and atoms, written as POSCAR:
```
MgAsCl2
1.0
-1.907 1.907 6.054
1.907 -1.907 6.054
1.907 1.907 -6.054
Mg As Cl
1 1 2
direct
0.000 0.000 0.000
0.250 0.750 0.500
0.500 0.500 0.000
0.750 0.250 0.500
```

Output
total DFT energy (no corrections): -0.103 Ha/atom
space-group type: No. 119
magnetic moment: 0.000 μB/cell
energy above the most stable polymorph in this dataset: 2.287 eV/f.u.
mass density: 3.21 g cm⁻³



Entry 3:
DFT (PBE-GGA) results for PmEu2In after structural relaxation.

Cell and atoms, written as POSCAR:
```
PmEu2In
1.0
1.819 1.050 12.319
-1.819 1.050 12.319
0.000 -2.100 12.319
Pm Eu In
1 2 1
direct
0.000 0.000 0.000
0.095 0.095 0.095
0.905 0.905 0.905
0.500 0.500 0.500
```

Output
total DFT energy (no corrections): -0.256 Ha/atom
space-group type: No. 166
magnetic moment: 15.039 μB/cell
energy above the most stable polymorph in this dataset: 1.012 eV/f.u.
mass density: 6.63 g cm⁻³



Entry 4:
DFT (PBE-GGA) results for Rb3HfPa3Se8 after structural relaxation.

Cell and atoms, written as POSCAR:
```
Rb3HfPa3Se8
1.0
4.068 2.349 8.382
-4.068 2.349 8.382
0.000 -4.697 8.382
Rb Hf Pa Se
3 1 3 8
direct
0.000 0.500 0.500
0.500 0.000 0.500
0.500 0.500 0.000
0.500 0.500 0.500
0.000 0.000 0.500
0.000 0.500 0.000
0.500 0.000 0.000
0.236 0.236 0.236
0.247 0.723 0.723
0.277 0.277 0.753
0.277 0.753 0.277
0.723 0.247 0.723
0.723 0.723 0.247
0.753 0.277 0.277
0.764 0.764 0.764
```

Output
total DFT energy (no corrections): -0.218 Ha/atom
space-group type: No. 166
magnetic moment: 5.807 μB/cell
mass density: 6.08 g cm⁻³



Entry 5:
DFT (PBE-GGA) results for FeBiSCl2 after structural relaxation.

Cell and atoms, written as POSCAR:
```
FeBiSCl2
1.0
5.386 0.000 0.000
0.000 5.386 0.000
0.000 0.000 5.427
Fe Bi S Cl
1 1 1 2
direct
0.000 0.000 0.000
0.500 0.500 0.500
0.500 0.500 0.000
0.000 0.500 0.500
0.500 0.000 0.500
```

Output
total DFT energy (no corrections): -0.134 Ha/atom
space-group type: No. 123
magnetic moment: 4.223 μB/cell
energy above the most stable polymorph in this dataset: 2.068 eV/f.u.
mass density: 3.88 g cm⁻³



Entry 6:
DFT (PBE-GGA) results for MnAs2Ru after structural relaxation.

Cell and atoms, written as POSCAR:
```
MnAs2Ru
1.0
1.473 0.850 9.705
-1.473 0.850 9.705
0.000 -1.700 9.705
Mn As Ru
1 2 1
direct
0.000 0.000 0.000
0.533 0.533 0.533
0.733 0.733 0.733
0.263 0.263 0.263
```

Output
total DFT energy (no corrections): -0.252 Ha/atom
space-group type: No. 160
magnetic moment: 3.040 μB/cell
energy above the most stable polymorph in this dataset: 0.703 eV/f.u.
mass density: 6.97 g cm⁻³



Entry 7:
DFT (PBE-GGA) results for LiCa2Pm after structural relaxation.

Cell and atoms, written as POSCAR:
```
LiCa2Pm
1.0
0.000 4.107 4.107
4.107 0.000 4.107
4.107 4.107 0.000
Li Ca Pm
1 2 1
direct
0.000 0.000 0.000
0.250 0.250 0.250
0.750 0.750 0.750
0.500 0.500 0.500
```

Output
total DFT energy (no corrections): -0.090 Ha/atom
space-group type: No. 225
magnetic moment: 0.000 μB/cell
energy above the most stable polymorph in this dataset: 0.484 eV/f.u.
mass density: 2.78 g cm⁻³



Entry 8:
DFT (PBE-GGA) results for Tc2TePt after structural relaxation.

Cell and atoms, written as POSCAR:
```
Tc2TePt
1.0
-2.016 2.028 3.996
2.016 -2.028 3.996
2.016 2.028 -3.996
Tc Te Pt
2 1 1
direct
0.000 0.000 0.000
0.747 0.247 0.500
0.249 0.749 0.500
0.497 0.497 0.000
```

Output
total DFT energy (no corrections): -0.263 Ha/atom
space-group type: No. 44
magnetic moment: 0.000 μB/cell
mass density: 13.18 g cm⁻³



Entry 9:
DFT (PBE-GGA) results for TiTlB2 after structural relaxation.

Cell and atoms, written as POSCAR:
```
TiTlB2
1.0
-1.946 1.946 8.159
1.946 -1.946 8.159
1.946 1.946 -8.159
Ti Tl B
2 2 4
direct
0.375 0.625 0.750
0.625 0.375 0.250
0.125 0.875 0.250
0.875 0.125 0.750
0.000 0.500 0.500
0.500 0.000 0.000
0.500 0.500 0.000
0.500 0.500 0.500
```

Output
total DFT energy (no corrections): -0.190 Ha/atom
space-group type: No. 141
magnetic moment: 0.000 μB/cell
energy above the most stable polymorph in this dataset: 0.000 eV/f.u.
mass density: 7.36 g cm⁻³



Entry 10:
DFT (PBE-GGA) results for MgMn2Ir after structural relaxation.

Cell and atoms, written as POSCAR:
```
MgMn2Ir
1.0
-1.535 2.219 4.457
1.535 -2.219 4.457
1.535 2.219 -4.457
Mg Mn Ir
1 2 1
direct
0.000 0.000 0.000
0.271 0.771 0.500
0.729 0.229 0.500
0.500 0.500 0.000
```

Output
total DFT energy (no corrections): -0.261 Ha/atom
space-group type: No. 71
magnetic moment: 6.916 μB/cell
mass density: 8.93 g cm⁻³



Entry 11:
DFT (PBE-GGA) results for LiMnMo2 after structural relaxation.

Cell and atoms, written as POSCAR:
```
LiMnMo2
1.0
0.000 2.986 2.986
2.986 0.000 2.986
2.986 2.986 0.000
Li Mn Mo
1 1 2
direct
0.000 0.000 0.000
0.500 0.500 0.500
0.250 0.250 0.250
0.750 0.750 0.750
```

Output
total DFT energy (no corrections): -0.287 Ha/atom
space-group type: No. 225
magnetic moment: 0.000 μB/cell
energy above the most stable polymorph in this dataset: 0.415 eV/f.u.
mass density: 7.92 g cm⁻³



Entry 12:
DFT (PBE-GGA) results for Ba3Cd2Hg7 after structural relaxation.

Cell and atoms, written as POSCAR:
```
Ba3Cd2Hg7
1.0
6.073 0.000 0.000
0.000 4.652 0.000
-2.518 0.000 13.827
Ba Cd Hg
3 2 7
direct
0.000 0.000 0.000
0.300 0.000 0.617
0.700 0.000 0.383
0.358 0.500 0.188
0.642 0.500 0.812
0.153 0.000 0.266
0.159 0.500 0.809
0.219 0.500 0.424
0.500 0.500 0.000
0.781 0.500 0.576
0.841 0.500 0.191
0.847 0.000 0.734
```

Output
total DFT energy (no corrections): -0.042 Ha/atom
space-group type: No. 10
magnetic moment: 0.000 μB/cell
mass density: 8.68 g cm⁻³



Question: Among the records above, which one has the lowest total DFT energy (no corrections)?
Answer: LiMnMo2



Question: Number 8 is which compound?
Answer: Tc2TePt



Question: Which formula does entry 2 have?
Answer: MgAsCl2



Please write out number 3 again, unchanged.
DFT (PBE-GGA) results for PmEu2In after structural relaxation.

Cell and atoms, written as POSCAR:
```
PmEu2In
1.0
1.819 1.050 12.319
-1.819 1.050 12.319
0.000 -2.100 12.319
Pm Eu In
1 2 1
direct
0.000 0.000 0.000
0.095 0.095 0.095
0.905 0.905 0.905
0.500 0.500 0.500
```

Output
total DFT energy (no corrections): -0.256 Ha/atom
space-group type: No. 166
magnetic moment: 15.039 μB/cell
energy above the most stable polymorph in this dataset: 1.012 eV/f.u.
mass density: 6.63 g cm⁻³